The following is a DFT calculation (PBE-GGA) of crystalline V5Ni8Pd at its relaxed geometry.

Calculated values
- DOS(E_F): 1.18 states/eV/atom
- Raw total energy: -6.863 eV/atom
- Formation enthalpy at 0 K: 69 meV per atom

Cell lengths 6.1356, 6.1356, 6.1356 Å; angles 110.49, 110.49, 107.45 degrees
Last column: nearest neighbours and their distance in Å.
Element x y z (fractional)
V: 0.0000 0.0000 0.0000  8 Ni 2.29-2.55
V: 0.2747 0.6337 0.0752  8 Ni 2.39-2.59
V: 0.3663 0.4416 0.6410  8 Ni 2.39-2.59
V: 0.5584 0.1995 0.9248  8 Ni 2.39-2.59
V: 0.8005 0.7253 0.3590  8 Ni 2.39-2.59
Ni: 0.0370 0.4470 0.2700  5 Ni 2.44-2.70, 5 V 2.46-2.59
Ni: 0.1139 0.1585 0.7468  5 V 2.29-2.51, 3 Ni 2.47-2.54, 1 Pd 2.56
Ni: 0.1770 0.7670 0.7300  5 Ni 2.44-2.70, 5 V 2.46-2.59
Ni: 0.2330 0.9630 0.4100  5 Ni 2.44-2.70, 5 V 2.46-2.59
Ni: 0.4117 0.3672 0.2532  5 V 2.29-2.51, 3 Ni 2.47-2.54, 1 Pd 2.56
Ni: 0.5530 0.8230 0.5900  5 Ni 2.44-2.70, 5 V 2.46-2.59
Ni: 0.6328 0.8861 0.0446  5 V 2.29-2.51, 3 Ni 2.47-2.54, 1 Pd 2.56
Ni: 0.8415 0.5883 0.9554  5 V 2.29-2.51, 3 Ni 2.47-2.54, 1 Pd 2.56
Pd: 0.7500 0.2500 0.5000  8 Ni 2.56-2.87